(1)
Here is crystalline Be2AlCo at its relaxed geometry from the Alexandria database. Energies are from PBE-GGA.

Values from the calculation:
- energy of formation (meV per atom) = -153
- density of states at the Fermi level (states/eV per cell) = 2.6

Cell and atoms, written as extended XYZ:
```
4
Lattice="0.0000 2.7314 2.7314 2.7314 0.0000 2.7314 2.7314 2.7314 0.0000" Properties=species:S:1:pos:R:3 pbc="T T T"
Be 0.0000 0.0000 0.0000
Be 1.3657 1.3657 1.3657
Al 2.7314 2.7314 2.7314
Co 4.0971 4.0971 4.0971
```



(2)
Here is crystalline Be2AlCo at its relaxed geometry from the Alexandria database. Energies are from PBE-GGA.

Values from the calculation:
- energy of formation (meV per atom) = -88
- density of states at the Fermi level (states/eV per cell) = 2.0

Cell and atoms, written as extended XYZ:
```
4
Lattice="2.5077 0.0000 0.0000 0.0000 3.7877 0.0000 -0.7220 0.0000 4.3888" Properties=species:S:1:pos:R:3 pbc="T T T"
Be 0.3365 0.0000 1.2652
Be 1.4492 0.0000 3.1236
Al 1.2538 1.8938 0.0000
Co -0.3610 1.8938 2.1944
```



(3)
Here is crystalline Be2AlCo at its relaxed geometry from the Alexandria database. Energies are from PBE-GGA.

Values from the calculation:
- energy of formation (meV per atom) = 107
- density of states at the Fermi level (states/eV per cell) = 2.2

Cell and atoms, written as extended XYZ:
```
4
Lattice="1.2952 0.7478 7.5136 -1.2952 0.7478 7.5136 0.0000 -1.4956 7.5136" Properties=species:S:1:pos:R:3 pbc="T T T"
Be 0.0000 0.0000 5.4558
Be 0.0000 0.0000 17.0849
Al 0.0000 0.0000 0.0000
Co 0.0000 0.0000 11.2703
```



(4)
Here is crystalline Be2AlCo at its relaxed geometry from the Alexandria database. Energies are from PBE-GGA.

Values from the calculation:
- energy of formation (meV per atom) = 301
- density of states at the Fermi level (states/eV per cell) = 4.6

Cell and atoms, written as extended XYZ:
```
8
Lattice="-1.6908 1.6908 8.0965 1.6908 -1.6908 8.0965 1.6908 1.6908 -8.0965" Properties=species:S:1:pos:R:3 pbc="T T T"
Be 2.5361 0.6775 -2.0241
Be 0.6775 0.8454 2.0241
Be -0.8454 1.0133 6.0724
Be 1.0133 0.8454 10.1207
Al 1.6908 0.0000 4.0483
Al 0.0000 0.0000 8.0965
Co 0.0000 0.0000 0.0000
Co 0.0000 1.6908 4.0483
```



(5)
Here is crystalline Be2AlCo2 at its relaxed geometry from the Alexandria database. Energies are from PBE-GGA.

Values from the calculation:
- energy of formation (meV per atom) = -86
- density of states at the Fermi level (states/eV per cell) = 4.0
- E above lowest polymorph (meV per atom) = 312

Cell and atoms, written as extended XYZ:
```
5
Lattice="-1.4395 1.4395 6.2420 1.4395 -1.4395 6.2420 1.4395 1.4395 -6.2420" Properties=species:S:1:pos:R:3 pbc="T T T"
Be 1.4395 0.0000 3.1210
Be 0.0000 1.4395 3.1210
Al 0.0000 0.0000 0.0000
Co 0.0000 0.0000 4.8509
Co 0.0000 0.0000 7.6331
```



(6)
Here is crystalline BeAl2Co at its relaxed geometry from the Alexandria database. Energies are from PBE-GGA.

Values from the calculation:
- energy of formation (meV per atom) = -84
- density of states at the Fermi level (states/eV per cell) = 2.1

Cell and atoms, written as extended XYZ:
```
4
Lattice="4.0846 -1.3794 0.0000 4.0846 1.3794 0.0000 -0.9347 0.0000 4.3496" Properties=species:S:1:pos:R:3 pbc="T T T"
Be 0.0000 0.0000 0.0000
Al 1.3043 0.0000 3.2300
Al 5.9302 0.0000 1.1196
Co 3.6172 0.0000 2.1748
```